No. 1
Material: ErAg2Au2
Method: DFT, PBE-GGA
State: relaxed

Summary:
**Offset from the most stable computed form**: 0.18 eV/f.u.
**M_tot**: 0.00 μB/atom
**ΔE_f**: -414 meV/atom

Lattice parameters (Å, degrees): 5.2276 7.8947 8.0288 137.70 109.00 90.00
Sites, in units of the cell vectors:
Au: 0.6303 0.2649 0.6187
Au: 0.9884 0.7649 0.6187
Au: 0.0116 0.2351 0.3813
Au: 0.3697 0.7351 0.3813
Ag: 0.2274 0.2355 0.7833
Ag: 0.4442 0.2645 0.2167
Ag: 0.7726 0.7645 0.2167
Ag: 0.5558 0.7355 0.7833
Er: 0.8334 0.2500 0.0000
Er: 0.1666 0.7500 0.0000


No. 2
Material: Er4AgAu2
Method: DFT, PBE-GGA
State: relaxed

Summary:
**Offset from the most stable computed form**: 0.81 eV/f.u.
**M_tot**: 0.00 μB/atom
**ΔE_f**: -431 meV/atom

Lattice parameters (Å, degrees): 4.7861 4.7861 9.8775 75.98 75.98 60.00
Sites, in units of the cell vectors:
Er: 0.2971 0.2971 0.1087
Er: 0.7029 0.7029 0.8913
Er: 0.1172 0.1172 0.6485
Er: 0.8828 0.8828 0.3515
Au: 0.4008 0.4008 0.7977
Au: 0.5992 0.5992 0.2023
Ag: 0.5000 0.5000 0.5000


No. 3
Material: ErAg8Au2
Method: DFT, PBE-GGA
State: relaxed

Summary:
**M_tot**: 0.00 μB/atom
**ΔE_f**: 82 meV/atom

Lattice parameters (Å, degrees): 4.8963 7.5256 7.5256 61.87 78.86 78.86
Sites, in units of the cell vectors:
Ag: 0.3064 0.3591 0.3591
Ag: 0.7723 0.6129 0.2526
Ag: 0.8725 0.2376 0.2376
Ag: 0.1275 0.7624 0.7624
Ag: 0.2277 0.7474 0.3871
Ag: 0.7723 0.2526 0.6129
Ag: 0.2277 0.3871 0.7474
Ag: 0.6936 0.6409 0.6409
Au: 0.4358 0.1297 0.1297
Au: 0.5642 0.8703 0.8703
Er: 0.0000 0.0000 0.0000


No. 4
Material: ErAg2Au
Method: DFT, PBE-GGA
State: relaxed

Summary:
**Offset from the most stable computed form**: 0.08 eV/f.u.
**M_tot**: 0.00 μB/atom
**ΔE_f**: -383 meV/atom

Lattice parameters (Å, degrees): 4.1711 5.4449 8.0786 90.00 90.00 112.54
Sites, in units of the cell vectors:
Au: 0.2365 0.4733 0.7500
Au: 0.7635 0.5267 0.2500
Ag: 0.3698 0.7391 0.4436
Ag: 0.6302 0.2609 0.9436
Ag: 0.3698 0.7391 0.0564
Ag: 0.6302 0.2609 0.5564
Er: 0.9414 0.8826 0.7500
Er: 0.0586 0.1174 0.2500